Zr2Tc: optimized geometry, PBE-GGA.

Unit cell a=5.6174 b=5.6174 c=4.3921 alpha=90.00 beta=90.00 gamma=120.00
Space group P-62m (No. 189)
Symmetry-distinct sites (fractional):
Zr1 0.0000 0.0000 0.0000
Zr2 0.0000 0.6203 0.5000
Tc1 0.3333 0.6667 0.0000

Results
As for the energy relative to the elements: 0.123 eV per atom. For the energy above the most stable polymorph in this dataset, the calculation gives 0.398 eV/atom. The total energy is -9.03 eV per atom.

TcHg3S2: optimized geometry, PBE-GGA.

Unit cell a=4.229 b=4.229 c=8.459 alpha=90.00 beta=90.00 gamma=90.00
Space group P-4m2 (No. 115)
Symmetry-distinct sites (fractional):
Tc1 0.000 0.000 0.000
Hg1 0.000 0.500 0.416
Hg2 0.500 0.500 0.000
S1 0.000 0.500 0.839

Results
The total energy is -2.88 eV per atom.

LiTa3Sb5: optimized geometry, PBE-GGA.

Unit cell a=5.7430 b=5.7430 c=8.7247 alpha=90.00 beta=90.00 gamma=120.00
Space group P6/mmm (No. 191)
Symmetry-distinct sites (fractional):
Li1 0.0000 0.0000 0.0000
Ta1 0.0000 0.5000 0.5000
Sb1 0.0000 0.0000 0.5000
Sb2 0.3333 0.6667 0.2233

Results
The total energy is -6.49 eV per atom.

Nd2GdDy3CoTe2: optimized geometry, PBE-GGA.

Unit cell a=3.992 b=14.670 c=8.481 alpha=90.00 beta=90.00 gamma=90.00
Space group Amm2 (No. 38)
Symmetry-distinct sites (fractional):
Nd1 0.000 0.203 0.000
Gd1 0.000 0.000 0.397
Dy1 0.500 0.000 0.030
Dy2 0.500 0.117 0.681
Co1 0.000 0.000 0.792
Te1 0.500 0.164 0.299

Results
The total energy is -5.30 eV per atom.

Ta2BiN: optimized geometry, PBE-GGA.

Unit cell a=3.4254 b=3.4254 c=13.4620 alpha=90.00 beta=90.00 gamma=120.00
Space group P6_3/mmc (No. 194)
Symmetry-distinct sites (fractional):
Ta1 0.3333 0.6667 0.0720
Bi1 0.3333 0.6667 0.7500
N1 0.0000 0.0000 0.0000

Results
The total energy is -9.16 eV per atom.

HfZnFeHg: optimized geometry, PBE-GGA.

Unit cell a=6.507 b=6.507 c=6.507 alpha=90.00 beta=90.00 gamma=90.00
Space group F-43m (No. 216)
Symmetry-distinct sites (fractional):
Hf1 0.000 0.000 0.000
Zn1 0.250 0.250 0.250
Fe1 0.000 0.000 0.500
Hg1 0.250 0.250 0.750

Results
As for the energy relative to the elements: 0.147 eV per atom. For the energy above the most stable polymorph in this dataset, the calculation gives 0.005 eV/atom. The total energy is -4.81 eV per atom.